The following is a DFT calculation (PBEsol) of an optimized crystal structure of Na2PdPb2.

Unit cell a=5.1823 b=7.0871 c=7.0871 alpha=90.00 beta=90.00 gamma=90.00
Atoms (fractional coordinates):
Pb 0.0000 0.3502 0.8502
Pb 0.0000 0.8502 0.6498
Pb 0.0000 0.6498 0.1498
Pb 0.0000 0.1498 0.3502
Na 0.5000 0.1698 0.6698
Na 0.5000 0.6698 0.8302
Na 0.5000 0.8302 0.3302
Na 0.5000 0.3302 0.1698
Pd 0.0000 0.0000 0.0000
Pd 0.0000 0.5000 0.5000

The calculation puts the energy of formation at -0.58 eV/f.u. As for the theoretical density: 7.2 Mg/m³. Its symmetry is P4/mbm, No. 127. As for the magnetization: 0.000 μB/atom.